The following is a DFT calculation (PBE) of crystalline CdCu3S at its relaxed geometry.

a = 4.446 Å, b = 4.446 Å, c = 4.446 Å
α = 90.00°, β = 90.00°, γ = 90.00°
Sites, in units of the cell vectors:
S1 0.000 0.000 0.000
Cu1 0.000 0.500 0.000
Cu2 0.000 0.000 0.500
Cu3 0.500 0.000 0.000
Cd1 0.500 0.500 0.500

Calculated values
The value obtained for the total magnetization is 0.0 Bohr magnetons per cell. The density of states at the Fermi level is 2.51 states/eV/cell. Its energy relative to the elements, uncorrected is 0.271 eV/atom. For the excess energy over the best structure of this formula in the dataset, the calculation gives 0 meV per atom.

The following is a DFT calculation (PBE) of crystalline LiIn2Tc at its relaxed geometry.

a = 3.385 Å, b = 3.385 Å, c = 6.210 Å
α = 90.00°, β = 90.00°, γ = 90.01°
Sites, in units of the cell vectors:
In1 0.000 0.000 0.995
In2 0.000 0.000 0.505
Li1 0.500 0.500 0.250
Tc1 0.500 0.500 0.750

Calculated values
The value obtained for the total magnetization is 0.0 Bohr magnetons per cell. The density of states at the Fermi level is 1.69 states/eV/cell. For the formation energy, the calculation gives 13.8 meV/atom. For the excess energy over the best structure of this formula in the dataset, the calculation gives 4 meV per atom.

The following is a DFT calculation (PBE) of crystalline BaSr7In4 at its relaxed geometry.

a = 7.566 Å, b = 11.927 Å, c = 8.703 Å
α = 55.63°, β = 62.44°, γ = 54.33°
Sites, in units of the cell vectors:
Ba1 0.000 0.000 0.000
Sr1 0.807 0.904 0.536
Sr2 0.193 0.096 0.464
Sr3 0.932 0.561 0.241
Sr4 0.068 0.439 0.759
Sr5 0.390 0.644 0.739
Sr6 0.500 0.000 0.000
Sr7 0.610 0.356 0.261
In1 0.677 0.327 0.647
In2 0.323 0.673 0.353
In3 0.582 0.713 0.943
In4 0.418 0.287 0.057

Calculated values
The value obtained for the total magnetization is 0.0 Bohr magnetons per cell. The density of states at the Fermi level is 8.58 states/eV/cell. For the formation energy, the calculation gives -224.1 meV/atom.

The following is a DFT calculation (PBE) of crystalline EuMg2Pb at its relaxed geometry.

a = 3.810 Å, b = 3.810 Å, c = 8.000 Å
α = 90.00°, β = 90.00°, γ = 90.00°
Each line ends with the local moment (μB).
Sites, in units of the cell vectors:
Pb1 0.500 0.500 0.000  -0.01
Eu1 0.500 0.500 0.500  6.90
Mg1 0.000 0.000 0.781  0.00
Mg2 0.000 0.000 0.219  0.00

Calculated values
The value obtained for the total magnetization is 7.2 Bohr magnetons per cell. The density of states at the Fermi level is 9.20 states/eV/cell. For the formation energy, the calculation gives -112.1 meV/atom. For the excess energy over the best structure of this formula in the dataset, the calculation gives 146 meV per atom.

The following is a DFT calculation (PBE) of crystalline Pm3Ho3Tl2 at its relaxed geometry.

a = 4.865 Å, b = 4.887 Å, c = 9.891 Å
α = 90.00°, β = 90.00°, γ = 90.00°
Each line ends with the local moment (μB).
Sites, in units of the cell vectors:
Pm1 0.500 0.000 0.500  0.10
Pm2 0.000 0.500 0.000  0.09
Pm3 0.000 0.500 0.500  0.07
Ho1 0.500 0.500 0.752  0.12
Ho2 0.500 0.500 0.248  0.12
Ho3 0.500 0.000 0.000  0.10
Tl1 0.000 0.000 0.753  0.00
Tl2 0.000 0.000 0.247  0.00

Calculated values
The value obtained for the total magnetization is 0.8 Bohr magnetons per cell. The density of states at the Fermi level is 12.15 states/eV/cell. For the formation energy, the calculation gives -186.1 meV/atom. For the excess energy over the best structure of this formula in the dataset, the calculation gives 0 meV per atom.

The following is a DFT calculation (PBE) of crystalline BeAlHg2 at its relaxed geometry.

a = 5.465 Å, b = 5.465 Å, c = 5.465 Å
α = 147.50°, β = 114.71°, γ = 74.84°
Sites, in units of the cell vectors:
Be1 0.250 0.750 0.500
Hg1 0.025 0.025 0.000
Hg2 0.475 0.475 0.000
Al1 0.750 0.250 0.500

Calculated values
The value obtained for the total magnetization is 0.0 Bohr magnetons per cell. The density of states at the Fermi level is 1.30 states/eV/cell. For the formation energy, the calculation gives 404.4 meV/atom. For the excess energy over the best structure of this formula in the dataset, the calculation gives 178 meV per atom.

The following is a DFT calculation (PBE) of crystalline CaAl3C at its relaxed geometry.

a = 5.714 Å, b = 5.714 Å, c = 5.714 Å
α = 90.00°, β = 90.00°, γ = 90.00°
Each line ends with the local moment (μB).
Sites, in units of the cell vectors:
C1 0.500 0.500 0.500  0.90
Ca1 0.000 0.000 0.000  -0.09
Al1 0.000 0.500 0.000  -0.04
Al2 0.000 0.000 0.500  -0.04
Al3 0.500 0.000 0.000  -0.04

Calculated values
The value obtained for the total magnetization is 1.0 Bohr magnetons per cell. The density of states at the Fermi level is 4.54 states/eV/cell. For the formation energy, the calculation gives 2468.0 meV/atom. For the excess energy over the best structure of this formula in the dataset, the calculation gives 2036 meV per atom.